The following is a PBE calculation of a relaxed NiSb2IN crystal, from Alexandria.

It has space group P4/mmm (No. 123), with a = 4.752 Å, b = 4.752 Å, c = 4.665 Å, α = 90.00°, β = 90.00° and γ = 90.00°. The distinct sites, in fractional coordinates, are Ni at (0.000, 0.000, 0.000), Sb at (0.000, 0.500, 0.500), I at (0.500, 0.500, 0.000) and N at (0.500, 0.500, 0.500).

The value obtained for the raw formation energy is 1038 meV per atom.



The following is a PBE calculation of a relaxed Rb2TlSe2 crystal, from Alexandria.

It has space group I4/mmm (No. 139), with a = 6.189 Å, b = 6.189 Å, c = 10.972 Å, α = 90.00°, β = 90.00° and γ = 90.00°. The distinct sites, in fractional coordinates, are Rb at (0.000, 0.000, 0.154), Tl at (0.000, 0.000, 0.500) and Se at (0.000, 0.500, 0.250).

The value obtained for the raw formation energy is -369 meV per atom.



The following is a PBE calculation of a relaxed TaAlTe2 crystal, from Alexandria.

It has space group Cm (No. 8), with a = 9.672 Å, b = 3.515 Å, c = 7.586 Å, α = 90.00°, β = 111.18° and γ = 90.00°. The distinct sites, in fractional coordinates, are Ta at (0.000, 0.000, 0.000), Al at (0.275, 0.000, 0.000), Te at (0.046, 0.500, 0.739) and Te at (0.194, 0.500, 0.260).

The value obtained for the raw formation energy is -59 meV per atom.



The following is a PBE calculation of a relaxed Pu2Ga3SnPd4 crystal, from Alexandria.

It has space group P-4m2 (No. 115), with a = 4.359 Å, b = 4.359 Å, c = 10.509 Å, α = 90.00°, β = 90.00° and γ = 90.00°. The distinct sites, in fractional coordinates, are Pu at (0.000, 0.500, 0.242), Ga at (0.000, 0.500, 0.878), Ga at (0.500, 0.500, 0.500), Sn at (0.000, 0.000, 0.500), Pd at (0.000, 0.000, 0.000), Pd at (0.000, 0.500, 0.644) and Pd at (0.500, 0.500, 0.000).

As for the total DFT energy (no corrections): -6.813 eV per atom.



The following is a PBE calculation of a relaxed Dy4HgSb crystal, from Alexandria.

It has space group P2_1/c (No. 14), with a = 7.157 Å, b = 7.380 Å, c = 7.374 Å, α = 90.00°, β = 90.38° and γ = 90.00°. The distinct sites, in fractional coordinates, are Dy at (0.150, 0.162, 0.338), Dy at (0.347, 0.650, 0.348), Hg at (0.000, 0.000, 0.000) and Sb at (0.500, 0.000, 0.500).

The value obtained for the raw formation energy is -267 meV per atom.



The following is a PBE calculation of a relaxed Pm4TlTe2S crystal, from Alexandria.

It has space group P2/m (No. 10), with a = 7.568 Å, b = 4.310 Å, c = 7.698 Å, α = 90.00°, β = 108.74° and γ = 90.00°. The distinct sites, in fractional coordinates, are Pm at (0.230, 0.000, 0.222), Pm at (0.244, 0.500, 0.762), Tl at (0.500, 0.000, 0.000), Te at (0.000, 0.000, 0.500), Te at (0.500, 0.500, 0.500) and S at (0.000, 0.500, 0.000).

The value obtained for the raw formation energy is -1281 meV per atom.



The following is a PBE calculation of a relaxed LiGaPt2 crystal, from Alexandria.

It has space group I-42d (No. 122), with a = 6.903 Å, b = 6.903 Å, c = 5.470 Å, α = 90.00°, β = 90.00° and γ = 90.00°. The distinct sites, in fractional coordinates, are Li at (0.000, 0.000, 0.000), Ga at (0.000, 0.000, 0.500) and Pt at (0.231, 0.750, 0.625).

As for the total DFT energy (no corrections): -4.604 eV per atom.



The following is a PBE calculation of a relaxed AcLa12Pm3 crystal, from Alexandria.

It has space group P4/mmm (No. 123), with a = 5.271 Å, b = 5.271 Å, c = 21.092 Å, α = 90.00°, β = 90.00° and γ = 90.00°. The distinct sites, in fractional coordinates, are Ac at (0.000, 0.000, 0.000), La at (0.000, 0.500, 0.129), La at (0.000, 0.500, 0.376), La at (0.500, 0.500, 0.000), La at (0.500, 0.500, 0.254), La at (0.500, 0.500, 0.500), Pm at (0.000, 0.000, 0.253) and Pm at (0.000, 0.000, 0.500).

As for the total DFT energy (no corrections): -4.833 eV per atom.